DFT (PBE-GGA) results for crystalline PrMgScAu at its relaxed geometry.

Computed properties:
- Volume: 24.42 A^3/atom
- Calculated formation energy: -7.74 kcal/mol of atoms
- DOS at the Fermi energy: 17.1 states/eV per cell

Cell: 7.311 7.311 7.311 Å, 90.00 90.00 90.00°
Space group F-43m (No. 216)
Unique sites:
Pr (0.000, 0.000, 0.000) [4 per cell]
Mg (0.250, 0.250, 0.750) [4 per cell]
Sc (0.000, 0.000, 0.500) [4 per cell]
Au (0.250, 0.250, 0.250) [4 per cell]



DFT (PBE-GGA) results for crystalline PrMgSi2Au5 at its relaxed geometry.

Computed properties:
- Volume: 22.14 A^3/atom
- ΔE_f (raw): -317 meV per atom
- DOS at the Fermi energy: 3.6 states/eV per cell

Cell: 4.578 4.578 9.509 Å, 90.00 90.00 90.00°
Space group P4/mmm (No. 123)
Unique sites:
Pr (0.000, 0.000, 0.000) [1 per cell]
Mg (0.000, 0.000, 0.500) [1 per cell]
Si (0.500, 0.500, 0.247) [2 per cell]
Au (0.000, 0.500, 0.331) [4 per cell]
Au (0.500, 0.500, 0.000) [1 per cell]



DFT (PBE-GGA) results for crystalline Pr2MgSi3Au4 at its relaxed geometry.

Computed properties:
- Volume: 20.25 A^3/atom
- ΔE_f (raw): -640 meV per atom
- DOS at the Fermi energy: 4.3 states/eV per cell

Cell: 4.332 4.332 10.793 Å, 90.00 90.00 90.00°
Space group P-4m2 (No. 115)
Unique sites:
Pr (0.000, 0.500, 0.235) [2 per cell]
Mg (0.000, 0.000, 0.500) [1 per cell]
Si (0.000, 0.500, 0.866) [2 per cell]
Si (0.500, 0.500, 0.500) [1 per cell]
Au (0.000, 0.000, 0.000) [1 per cell]
Au (0.000, 0.500, 0.639) [2 per cell]
Au (0.500, 0.500, 0.000) [1 per cell]



DFT (PBE-GGA) results for crystalline PrMg2SiAu2 at its relaxed geometry.

Computed properties:
- Volume: 24.62 A^3/atom
- ΔE_f (raw): -282 meV per atom
- DOS at the Fermi energy: 4.7 states/eV per cell

Cell: 5.045 5.045 11.608 Å, 90.00 90.00 90.00°
Space group I4/mmm (No. 139)
Unique sites:
Pr (0.000, 0.000, 0.000) [2 per cell]
Mg (0.000, 0.500, 0.250) [4 per cell]
Si (0.000, 0.000, 0.500) [2 per cell]
Au (0.000, 0.000, 0.298) [4 per cell]



DFT (PBE-GGA) results for crystalline PrSmMg2Au4 at its relaxed geometry.

Computed properties:
- Volume: 22.27 A^3/atom
- Calculated formation energy: -16.96 kcal/mol of atoms
- DOS at the Fermi energy: 12.2 states/eV per cell

Cell: 5.0493 5.0493 24.2056 Å, 90.00 90.00 120.00°
Space group R-3m (No. 166, hexagonal axes)
Unique sites:
Pr (0.0000, 0.0000, 0.0000) [3 per cell]
Sm (0.0000, 0.0000, 0.5000) [3 per cell]
Mg (0.0000, 0.0000, 0.2498) [6 per cell]
Au (0.0000, 0.0000, 0.1292) [6 per cell]
Au (0.0000, 0.0000, 0.3750) [6 per cell]



DFT (PBE-GGA) results for crystalline Pr2MgSnAu6 at its relaxed geometry.

Computed properties:
- Volume: 26.64 A^3/atom
- Calculated formation energy: -8.75 kcal/mol of atoms
- DOS at the Fermi energy: 6.5 states/eV per cell

Cell: 6.055 6.060 9.019 Å, 71.05 70.93 60.36°
Space group P-1 (No. 2)
Unique sites:
Pr (0.200, 0.199, 0.399) [2 per cell]
Mg (0.500, 0.500, 0.500) [1 per cell]
Sn (0.000, 0.000, 0.000) [1 per cell]
Au (0.244, 0.741, 0.263) [2 per cell]
Au (0.255, 0.256, 0.739) [2 per cell]
Au (0.256, 0.759, 0.736) [2 per cell]